This record from Alexandria via LeMat-Bulk describes an optimized crystal structure of Dy6Y8Tm. The functional is PBE-GGA.

Lattice parameters (Å, degrees): 8.640 8.640 8.640 63.05 63.05 63.05
Sites, in units of the cell vectors:
Dy  0.042  0.611  0.725
Dy  0.275  0.958  0.389
Dy  0.389  0.275  0.958
Dy  0.611  0.725  0.042
Dy  0.725  0.042  0.611
Dy  0.958  0.389  0.275
Y  0.077  0.077  0.077
Y  0.221  0.610  0.245
Y  0.245  0.221  0.610
Y  0.390  0.755  0.779
Y  0.610  0.245  0.221
Y  0.755  0.779  0.390
Y  0.779  0.390  0.755
Y  0.923  0.923  0.923
Tm  0.500  0.500  0.500

Values from the calculation:
Energy relative to the elements: 128 meV/atom
DOS at the Fermi energy: 24.3 states/eV per cell
Total energy: -5.459 eV/atom
E above lowest polymorph: 0.00 eV/f.u.

This record from Alexandria via LeMat-Bulk describes an optimized crystal structure of Dy5Y2Tm3. The functional is PBE-GGA.

Lattice parameters (Å, degrees): 12.282 12.282 12.282 135.44 55.67 148.36
Sites, in units of the cell vectors:
Dy  0.001  0.250  0.751
Dy  0.124  0.091  0.215
Dy  0.250  0.250  0.000
Dy  0.376  0.591  0.967
Dy  0.499  0.250  0.249
Dy  0.501  0.750  0.751
Dy  0.624  0.409  0.033
Dy  0.750  0.750  0.000
Dy  0.876  0.909  0.785
Dy  0.999  0.750  0.249
Y  0.125  0.405  0.531
Y  0.375  0.905  0.280
Y  0.625  0.095  0.720
Y  0.875  0.595  0.469
Tm  0.123  0.749  0.872
Tm  0.250  0.750  0.500
Tm  0.377  0.249  0.626
Tm  0.623  0.751  0.374
Tm  0.750  0.250  0.500
Tm  0.877  0.251  0.128

Values from the calculation:
Energy relative to the elements: 428 meV/atom
DOS at the Fermi energy: 33.0 states/eV per cell
Total energy: -4.507 eV/atom
E above lowest polymorph: 2.24 eV/f.u.

Q: Which value of E above lowest polymorph does entry 2 give?
A: 2.24 eV/f.u.

Q: Which of these has the highest E above lowest polymorph?
A: Dy5Y2Tm3

Q: energy relative to the elements of number 2 (Dy5Y2Tm3)?
A: 428 meV/atom

Q: The lowest total energy belongs to which entry?
A: Dy6Y8Tm